This record from Alexandria describes Li3As4 after structural relaxation. The functional is GGA-PBE.

a b c (Å): 3.6393 3.6393 19.8532
angles (deg): 90.00 90.00 90.00
Space group I4/mmm (No. 139)
Asymmetric unit:
1 Li 0.0000 0.0000 0.0000 x2
2 Li 0.0000 0.0000 0.2811 x4
3 As 0.0000 0.0000 0.1433 x4
4 As 0.0000 0.0000 0.4042 x4

Energy relative to the lowest polymorph listed for this composition (meV per atom): 0
ΔE_f (eV per formula unit): -1.59
Crystal system: tetragonal